# GaGe2Pb

A geometry-optimized GaGe2Pb structure (PBE, Alexandria).

Results
Total DFT energy (no corrections) ... -14.84 eV/cell
Energy of formation from the pure elements ... 109 kJ/mol of formula units
E above lowest polymorph ... 0.096 eV/atom

Cell lengths 5.0463, 5.0463, 5.0463 Å; angles 60.00, 60.00, 60.00 degrees
Last column: nearest neighbours and their distance in Å.
Fractional coordinates of all 4 atoms:
Ge: 0.7500 0.7500 0.7500  4 Ga 3.09, 4 Pb 3.09
Ge: 0.2500 0.2500 0.2500  4 Pb 3.09, 4 Ga 3.09
Ga: 0.0000 0.0000 0.0000  8 Ge 3.09
Pb: 0.5000 0.5000 0.5000  8 Ge 3.09

# GaGe2Pb

A geometry-optimized GaGe2Pb structure (PBE, Alexandria).

Results
Total DFT energy (no corrections) ... -15.18 eV/cell
Energy of formation from the pure elements ... 76 kJ/mol of formula units
E above lowest polymorph ... 0.010 eV/atom

Cell lengths 3.8788, 3.8788, 7.4799 Å; angles 74.97, 74.97, 60.00 degrees
Last column: nearest neighbours and their distance in Å.
Fractional coordinates of all 4 atoms:
Ge: 0.7330 0.7330 0.8010  3 Ga 2.65
Ge: 0.2670 0.2670 0.1990  3 Ga 2.65
Pb: 0.5000 0.5000 0.5000  6 Ge 3.10
Ga: 0.0000 0.0000 0.0000  6 Ge 2.65

# GaGe2Pb

A geometry-optimized GaGe2Pb structure (PBE, Alexandria).

Results
Total DFT energy (no corrections) ... -15.19 eV/cell
Energy of formation from the pure elements ... 75 kJ/mol of formula units
E above lowest polymorph ... 0.007 eV/atom

Cell lengths 3.4719, 3.4719, 7.4210 Å; angles 90.00, 90.00, 90.00 degrees
Last column: nearest neighbours and their distance in Å.
Fractional coordinates of all 4 atoms:
Ga: 0.5000 0.5000 0.0000  8 Ge 2.86
Ge: 0.0000 0.0000 0.8010  4 Ga 2.86, 1 Ge 2.95
Ge: 0.0000 0.0000 0.1990  4 Ga 2.86, 1 Ge 2.95
Pb: 0.5000 0.5000 0.5000  8 Ge 3.32, 4 Pb 3.47, 2 Ga 3.71

# Pr2GaGePb

A geometry-optimized Pr2GaGePb structure (PBE, Alexandria).

Results
Total DFT energy (no corrections) ... -47.84 eV/cell
Energy of formation from the pure elements ... -290 kJ/mol of formula units

Cell lengths 4.5134, 6.5389, 9.0531 Å; angles 90.14, 90.00, 90.00 degrees
Last column: nearest neighbours and their distance in Å.
Fractional coordinates of all 10 atoms:
Pr: 0.2500 0.2435 0.0325  3 Ge 3.21-3.24, 3 Ga 3.27-3.28, 2 Pb 3.42
Pr: 0.7500 0.7583 0.5330  3 Ge 3.21-3.26, 3 Ga 3.26-3.27, 2 Pb 3.41
Pr: 0.7500 0.7565 0.9675  3 Ge 3.21-3.24, 3 Ga 3.27-3.28, 2 Pb 3.42
Pr: 0.2500 0.2417 0.4670  3 Ge 3.21-3.26, 3 Ga 3.26-3.27, 2 Pb 3.41
Ga: 0.2500 0.5536 0.7491  1 Ge 2.50
Ga: 0.7500 0.4464 0.2509  1 Ge 2.50
Pb: 0.7500 0.2680 0.7495  2 Ga 2.93, 2 Ge 3.13
Pb: 0.2500 0.7320 0.2505  2 Ga 2.93, 2 Ge 3.13
Ge: 0.7500 0.0642 0.2489  1 Ga 2.50
Ge: 0.2500 0.9358 0.7511  1 Ga 2.50

What is the energy of formation from the pure elements in the first record? 109 kJ/mol of formula units